DFT (PBE with a Hubbard U) results for a relaxed Rb2LaCo2O6 crystal.

## Properties
E_tot	-64.42	eV per cell
symmetry	R-3m (166)

Cell lengths 6.2655, 6.2655, 7.0700 Å; angles 63.70, 63.70, 60.00 degrees
With the nearest neighbours (Å) after each atom.
Sites, in units of the cell vectors:
Rb (0.7828, 0.7828, 0.6517)  9 O 3.11-3.20
Rb (0.2172, 0.2172, 0.3483)  9 O 3.11-3.20
Co (0.4294, 0.4294, 0.7119)  3 O 1.75
Co (0.5706, 0.5706, 0.2881)  3 O 1.75
O (0.2558, 0.7340, 0.7544)  1 Co 1.75
O (0.2660, 0.7442, 0.2456)  1 Co 1.75
O (0.7442, 0.2660, 0.2456)  1 Co 1.75
O (0.7340, 0.2558, 0.7544)  1 Co 1.75
O (0.2558, 0.2558, 0.7544)  1 Co 1.75
O (0.7442, 0.7442, 0.2456)  1 Co 1.75
La (0.0000, 0.0000, 0.0000)  6 O 2.41